Version one
## As2AuCl (PBE-GGA)

Data for crystalline As2AuCl at its relaxed geometry.

Geometry as extended XYZ:
```
4
Lattice="4.836 0.000 0.000 0.000 3.632 0.000 -1.197 0.000 6.577" Properties=species:S:1:pos:R:3 pbc="T T T"
As 0.000 0.000 0.000
As -0.571 1.816 4.999
Au 1.844 1.816 4.407
Cl 1.680 0.000 1.520
```

Version two
## As2AuCl (PBE-GGA)

Data for crystalline As2AuCl at its relaxed geometry.

## Properties
**Fermi-level density of states**: 1.81 states/eV per cell

Geometry as extended XYZ:
```
4
Lattice="2.989 0.000 0.000 0.000 4.594 0.000 0.000 0.000 5.934" Properties=species:S:1:pos:R:3 pbc="T T T"
As 0.000 0.000 0.000
As 1.495 0.000 2.967
Au 0.000 2.297 2.967
Cl 1.495 2.297 0.000
```

Version three
## As2AuCl (PBE-GGA)

Data for crystalline As2AuCl at its relaxed geometry.

## Properties
**Fermi-level density of states**: 1.86 states/eV per cell

Geometry as extended XYZ:
```
4
Lattice="0.000 3.385 3.385 3.385 0.000 3.385 3.385 3.385 0.000" Properties=species:S:1:pos:R:3 pbc="T T T"
As 0.000 0.000 0.000
As 1.692 1.692 1.692
Au 5.077 5.077 5.077
Cl 3.385 3.385 3.385
```

Verdict on stability: version one comes out on top.

Version one
## As2AuCl (PBE-GGA)

Data for crystalline As2AuCl at its relaxed geometry.

## Properties
**Fermi-level density of states**: 2.21 states/eV per cell

Geometry as extended XYZ:
```
4
Lattice="-1.619 2.854 4.482 1.619 -2.854 4.482 1.619 2.854 -4.482" Properties=species:S:1:pos:R:3 pbc="T T T"
As 0.000 0.000 2.073
As 0.000 0.000 6.892
Au 1.619 0.000 0.000
Cl 0.000 2.854 0.000
```

Version two
## As2AuCl (PBE-GGA)

Data for crystalline As2AuCl at its relaxed geometry.

## Properties
**Fermi-level density of states**: 1.00 states/eV per cell

Geometry as extended XYZ:
```
4
Lattice="2.090 1.207 6.106 -2.090 1.207 6.106 0.000 -2.414 6.106" Properties=species:S:1:pos:R:3 pbc="T T T"
As 0.000 0.000 4.058
As 0.000 0.000 14.259
Au 0.000 0.000 9.159
Cl 0.000 0.000 0.000
```

Verdict on stability: version two comes out on top.

Version one
## As2AuCl (PBE-GGA)

Data for crystalline As2AuCl at its relaxed geometry.

## Properties
**Fermi-level density of states**: 1.54 states/eV per cell

Geometry as extended XYZ:
```
4
Lattice="3.572 0.000 0.000 0.000 3.572 0.000 0.000 0.000 6.855" Properties=species:S:1:pos:R:3 pbc="T T T"
As 0.000 0.000 0.000
As 1.786 1.786 0.969
Au 0.000 0.000 2.581
Cl 1.786 1.786 4.192
```

Version two
## As2AuCl (PBE-GGA)

Data for crystalline As2AuCl at its relaxed geometry.

## Properties
**Fermi-level density of states**: 2.25 states/eV per cell

Geometry as extended XYZ:
```
4
Lattice="3.680 0.000 0.000 0.000 3.680 0.000 0.000 0.000 7.771" Properties=species:S:1:pos:R:3 pbc="T T T"
As 0.000 1.840 0.000
As 1.840 0.000 0.000
Au 0.000 0.000 3.885
Cl 1.840 1.840 3.885
```

Version three
## As2AuCl (PBE-GGA)

Data for crystalline As2AuCl at its relaxed geometry.

## Properties
**Fermi-level density of states**: 1.35 states/eV per cell

Geometry as extended XYZ:
```
4
Lattice="6.002 -1.869 0.000 6.002 1.869 0.000 -0.115 0.000 4.127" Properties=species:S:1:pos:R:3 pbc="T T T"
As 0.000 0.000 0.000
As 7.768 0.000 0.089
Au 1.710 0.000 2.157
Cl 4.245 0.000 2.093
```

Verdict on stability: version three comes out on top.